# NiSnHgSe3

NiSnHgSe3 after structural relaxation (PBE, OQMD).

Calculated values
total magnetization: 0.04 μB/cell
VASP energy: -3.4949 eV/atom
space-group type: Cmcm
energy above the most stable polymorph in this dataset: 0.121 eV per atom

abc: 6.5307 6.5307 11.3374
angles: 90.00 90.00 34.35
Atoms (fractional coordinates):
Hg 0.0000 0.0000 0.0000
Hg 0.0000 0.0000 0.5000
Ni 0.4507 0.4507 0.2500
Ni 0.5493 0.5493 0.7500
Se 0.3470 0.3470 0.0741
Se 0.0616 0.0616 0.2500
Se 0.3470 0.3470 0.4259
Se 0.6530 0.6530 0.5741
Se 0.9384 0.9384 0.7500
Se 0.6530 0.6530 0.9259
Sn 0.7665 0.7665 0.2500
Sn 0.2335 0.2335 0.7500

=====

# SrNiHgSe3

SrNiHgSe3 after structural relaxation (PBE, OQMD).

Calculated values
total magnetization: 1.29 μB/cell
VASP energy: -3.6238 eV/atom
space-group type: Cmcm
energy above the most stable polymorph in this dataset: 0.000 eV per atom

abc: 6.4106 6.4106 11.5508
angles: 90.00 90.00 37.85
Site moments in Bohr magnetons follow the coordinates.
Atoms (fractional coordinates):
Hg 0.0000 0.0000 0.0000  0.00
Hg 0.0000 0.0000 0.5000  0.00
Ni 0.4525 0.4525 0.2500  0.38
Ni 0.5475 0.5475 0.7500  0.38
Se 0.3509 0.3509 0.0721  0.05
Se 0.0428 0.0428 0.2500  0.05
Se 0.3509 0.3509 0.4279  0.04
Se 0.6491 0.6491 0.5721  0.04
Se 0.9572 0.9572 0.7500  0.05
Se 0.6491 0.6491 0.9279  0.05
Sr 0.7448 0.7448 0.2500  0.00
Sr 0.2552 0.2552 0.7500  0.00

=====

# SrNiHgSe3

SrNiHgSe3 after structural relaxation (PBE, OQMD).

Calculated values
total magnetization: 0.01 μB/cell
VASP energy: -3.5765 eV/atom
space-group type: Cmcm
energy above the most stable polymorph in this dataset: 0.047 eV per atom

abc: 7.4810 7.4810 11.8560
angles: 90.00 90.00 29.44
Atoms (fractional coordinates):
Hg 0.5379 0.5379 0.2500
Hg 0.4621 0.4621 0.7500
Ni 0.0000 0.0000 0.0000
Ni 0.0000 0.0000 0.5000
Se 0.4135 0.4135 0.0667
Se 0.1666 0.1666 0.2500
Se 0.4135 0.4135 0.4333
Se 0.5865 0.5865 0.5667
Se 0.8334 0.8334 0.7500
Se 0.5865 0.5865 0.9333
Sr 0.8245 0.8245 0.2500
Sr 0.1755 0.1755 0.7500

=====

# SiNi3Hg

SiNi3Hg after structural relaxation (PBE, OQMD).

Calculated values
total magnetization: 0.95 μB/cell
VASP energy: -3.0012 eV/atom
space-group type: Pm-3m

abc: 4.6832 4.6832 4.6832
angles: 90.00 90.00 90.00
Site moments in Bohr magnetons follow the coordinates.
Atoms (fractional coordinates):
Hg 0.0000 0.0000 0.0000  -0.01
Ni 0.5000 0.0000 0.0000  0.30
Ni 0.0000 0.5000 0.0000  0.38
Ni 0.0000 0.0000 0.5000  0.28
Si 0.5000 0.5000 0.5000  0.01